Entry 1:
The following is a DFT calculation (PBE-GGA) of a geometry-optimized NaPr3Tm3Te8 structure.

Calculated values
The density of states at the Fermi level is 0.32 states/eV/atom. The uncorrected formation energy comes out at -20.01 eV per formula unit.

Lattice parameters (Å, degrees): 8.7953 8.7953 21.7332 90.00 90.00 120.00
Closest atoms and distances in Å follow each position.
Space group R-3m (No. 166, hexagonal axes)
Asymmetric unit:
Na 0.0000 0.0000 0.0000 (multiplicity 3)  6 Te 3.19
Pr 0.0000 0.5000 0.5000 (multiplicity 9)  6 Te 3.19
Tm 0.0000 0.5000 0.0000 (multiplicity 9)  6 Te 3.05
Te 0.0000 0.0000 0.2556 (multiplicity 6)  3 Tm 3.05, 3 Pr 3.19
Te 0.0157 0.5078 0.2520 (multiplicity 18)  2 Tm 3.05, 1 Na 3.19, 2 Pr 3.19


Entry 2:
The following is a DFT calculation (PBE-GGA) of a geometry-optimized NaPrTm2Te4 structure.

Calculated values
The density of states at the Fermi level is 0.35 states/eV/atom. The uncorrected formation energy comes out at -10.40 eV per formula unit.

Lattice parameters (Å, degrees): 7.6667 4.3563 7.7193 90.00 108.69 90.00
Closest atoms and distances in Å follow each position.
Space group P2/m (No. 10)
Asymmetric unit:
Na 0.0000 0.0000 0.0000 (multiplicity 1)  6 Te 3.16-3.18
Pr 0.5000 0.5000 0.0000 (multiplicity 1)  6 Te 3.20-3.21
Tm 0.0000 0.5000 0.5000 (multiplicity 1)  6 Te 3.05
Tm 0.5000 0.0000 0.5000 (multiplicity 1)  6 Te 3.07-3.09
Te 0.2405 0.0000 0.7350 (multiplicity 2)  3 Tm 3.05-3.09, 1 Na 3.16, 2 Pr 3.21
Te 0.2524 0.5000 0.2646 (multiplicity 2)  3 Tm 3.05-3.07, 2 Na 3.18, 1 Pr 3.20


Copy entry 1 word for word.
The following is a DFT calculation (PBE-GGA) of a geometry-optimized NaPr3Tm3Te8 structure.

Calculated values
The density of states at the Fermi level is 0.32 states/eV/atom. The uncorrected formation energy comes out at -20.01 eV per formula unit.

Lattice parameters (Å, degrees): 8.7953 8.7953 21.7332 90.00 90.00 120.00
Closest atoms and distances in Å follow each position.
Space group R-3m (No. 166, hexagonal axes)
Asymmetric unit:
Na 0.0000 0.0000 0.0000 (multiplicity 3)  6 Te 3.19
Pr 0.0000 0.5000 0.5000 (multiplicity 9)  6 Te 3.19
Tm 0.0000 0.5000 0.0000 (multiplicity 9)  6 Te 3.05
Te 0.0000 0.0000 0.2556 (multiplicity 6)  3 Tm 3.05, 3 Pr 3.19
Te 0.0157 0.5078 0.2520 (multiplicity 18)  2 Tm 3.05, 1 Na 3.19, 2 Pr 3.19


Please write out number 1 again, unchanged.
The following is a DFT calculation (PBE-GGA) of a geometry-optimized NaPr3Tm3Te8 structure.

Calculated values
The density of states at the Fermi level is 0.32 states/eV/atom. The uncorrected formation energy comes out at -20.01 eV per formula unit.

Lattice parameters (Å, degrees): 8.7953 8.7953 21.7332 90.00 90.00 120.00
Closest atoms and distances in Å follow each position.
Space group R-3m (No. 166, hexagonal axes)
Asymmetric unit:
Na 0.0000 0.0000 0.0000 (multiplicity 3)  6 Te 3.19
Pr 0.0000 0.5000 0.5000 (multiplicity 9)  6 Te 3.19
Tm 0.0000 0.5000 0.0000 (multiplicity 9)  6 Te 3.05
Te 0.0000 0.0000 0.2556 (multiplicity 6)  3 Tm 3.05, 3 Pr 3.19
Te 0.0157 0.5078 0.2520 (multiplicity 18)  2 Tm 3.05, 1 Na 3.19, 2 Pr 3.19